P) Material: Ba
Method: DFT, GGA-PBEsol
State: relaxed

Calculated values
- N(E_F): 6.1 states/eV per cell

```
data_Ba
_chemical_formula_sum 'Ba4'
_symmetry_space_group_name_H-M 'P 63/m m c'
_symmetry_Int_Tables_number 194
_symmetry_space_group_name_Hall '-P 6c 2c'
_cell_length_a 6.3966
_cell_length_b 6.3966
_cell_length_c 6.5276
_cell_angle_alpha 90.00
_cell_angle_beta 90.00
_cell_angle_gamma 120.00
loop_
_atom_site_label
_atom_site_fract_x
_atom_site_fract_y
_atom_site_fract_z
_atom_site_occupancy
Ba1 0.0000 0.0000 0.2500 1
Ba2 0.3333 0.6667 0.2500 1
```

---

Q) Material: Ba
Method: DFT, GGA-PBEsol
State: relaxed

Calculated values
- N(E_F): 2.8 states/eV per cell

```
data_Ba
_chemical_formula_sum 'Ba2'
_symmetry_space_group_name_H-M 'I m -3 m'
_symmetry_Int_Tables_number 229
_symmetry_space_group_name_Hall '-I 4 2 3'
_cell_length_a 4.884
_cell_length_b 4.884
_cell_length_c 4.884
_cell_angle_alpha 90.00
_cell_angle_beta 90.00
_cell_angle_gamma 90.00
loop_
_atom_site_label
_atom_site_fract_x
_atom_site_fract_y
_atom_site_fract_z
_atom_site_occupancy
Ba1 0.000 0.000 0.000 1
```

---

R) Material: Ba
Method: DFT, GGA-PBEsol
State: relaxed

Calculated values
- N(E_F): 3.1 states/eV per cell

```
data_Ba
_chemical_formula_sum 'Ba2'
_symmetry_space_group_name_H-M 'P 63/m m c'
_symmetry_Int_Tables_number 194
_symmetry_space_group_name_Hall '-P 6c 2c'
_cell_length_a 4.3382
_cell_length_b 4.3382
_cell_length_c 7.1001
_cell_angle_alpha 90.00
_cell_angle_beta 90.00
_cell_angle_gamma 120.00
loop_
_atom_site_label
_atom_site_fract_x
_atom_site_fract_y
_atom_site_fract_z
_atom_site_occupancy
Ba1 0.3333 0.6667 0.2500 1
```

---

Which structure is the most stable? The one labeled Q).